A geometry-optimized U3S5 structure, computed with PBE.

```
data_U3S5
_chemical_formula_sum 'U6 S10'
_symmetry_space_group_name_H-M 'P 1'
_symmetry_Int_Tables_number 1
_cell_length_a 7.869
_cell_length_b 7.869
_cell_length_c 6.068
_cell_angle_alpha 90.00
_cell_angle_beta 90.00
_cell_angle_gamma 120.00
loop_
_symmetry_equiv_pos_as_xyz
'x,y,z'
loop_
_atom_site_label
_atom_site_type_symbol
_atom_site_fract_x
_atom_site_fract_y
_atom_site_fract_z
_atom_site_occupancy
U1 U 0.000 0.390 0.250 1
U2 U 0.000 0.610 0.750 1
U3 U 0.390 0.000 0.250 1
U4 U 0.390 0.390 0.750 1
U5 U 0.610 0.000 0.750 1
U6 U 0.610 0.610 0.250 1
S1 S 0.000 0.255 0.750 1
S2 S 0.000 0.745 0.250 1
S3 S 0.255 0.000 0.750 1
S4 S 0.255 0.255 0.250 1
S5 S 0.333 0.667 0.000 1
S6 S 0.333 0.667 0.500 1
S7 S 0.667 0.333 0.000 1
S8 S 0.667 0.333 0.500 1
S9 S 0.745 0.000 0.250 1
S10 S 0.745 0.745 0.750 1
```

Results
Space-group type: P6_3/mcm (193)
ΔE to the lowest computed polymorph: 64 meV/atom
Crystal system: hexagonal
VASP energy: -8.193 eV per atom

***

A geometry-optimized TbTm2 structure, computed with PBE.

```
data_TbTm2
_chemical_formula_sum 'Tb4 Tm8'
_symmetry_space_group_name_H-M 'P 1'
_symmetry_Int_Tables_number 1
_cell_length_a 7.582
_cell_length_b 7.582
_cell_length_c 7.582
_cell_angle_alpha 90.00
_cell_angle_beta 90.00
_cell_angle_gamma 90.00
loop_
_symmetry_equiv_pos_as_xyz
'x,y,z'
loop_
_atom_site_label
_atom_site_type_symbol
_atom_site_fract_x
_atom_site_fract_y
_atom_site_fract_z
_atom_site_occupancy
Tb1 Tb 0.000 0.000 0.000 1
Tb2 Tb 0.000 0.500 0.500 1
Tb3 Tb 0.500 0.000 0.500 1
Tb4 Tb 0.500 0.500 0.000 1
Tm1 Tm 0.250 0.250 0.250 1
Tm2 Tm 0.250 0.250 0.750 1
Tm3 Tm 0.250 0.750 0.250 1
Tm4 Tm 0.250 0.750 0.750 1
Tm5 Tm 0.750 0.250 0.250 1
Tm6 Tm 0.750 0.250 0.750 1
Tm7 Tm 0.750 0.750 0.250 1
Tm8 Tm 0.750 0.750 0.750 1
```

Results
Space-group type: Fm-3m (225)
ΔE to the lowest computed polymorph: 468 meV/atom
Crystal system: cubic
VASP energy: -3.781 eV per atom

***

A geometry-optimized Sc2CuTe3 structure, computed with PBE.

```
data_Sc2CuTe3
_chemical_formula_sum 'Sc8 Cu4 Te12'
_symmetry_space_group_name_H-M 'P 1'
_symmetry_Int_Tables_number 1
_cell_length_a 10.610
_cell_length_b 3.970
_cell_length_c 13.833
_cell_angle_alpha 90.00
_cell_angle_beta 90.00
_cell_angle_gamma 90.00
loop_
_symmetry_equiv_pos_as_xyz
'x,y,z'
loop_
_atom_site_label
_atom_site_type_symbol
_atom_site_fract_x
_atom_site_fract_y
_atom_site_fract_z
_atom_site_occupancy
Sc1 Sc 0.018 0.250 0.246 1
Sc2 Sc 0.226 0.750 0.528 1
Sc3 Sc 0.274 0.250 0.028 1
Sc4 Sc 0.482 0.750 0.746 1
Sc5 Sc 0.518 0.250 0.254 1
Sc6 Sc 0.726 0.750 0.972 1
Sc7 Sc 0.774 0.250 0.472 1
Sc8 Sc 0.982 0.750 0.754 1
Cu1 Cu 0.236 0.250 0.725 1
Cu2 Cu 0.264 0.750 0.225 1
Cu3 Cu 0.736 0.250 0.775 1
Cu4 Cu 0.764 0.750 0.275 1
Te1 Te 0.043 0.250 0.604 1
Te2 Te 0.085 0.750 0.099 1
Te3 Te 0.235 0.750 0.853 1
Te4 Te 0.265 0.250 0.353 1
Te5 Te 0.415 0.250 0.599 1
Te6 Te 0.457 0.750 0.104 1
Te7 Te 0.543 0.250 0.896 1
Te8 Te 0.585 0.750 0.401 1
Te9 Te 0.735 0.750 0.647 1
Te10 Te 0.765 0.250 0.147 1
Te11 Te 0.915 0.250 0.901 1
Te12 Te 0.957 0.750 0.396 1
```

Results
Space-group type: Pnma (62)
ΔE to the lowest computed polymorph: 0 meV/atom
Crystal system: orthorhombic
VASP energy: -5.143 eV per atom

***

A geometry-optimized LiInAg2 structure, computed with PBE.

```
data_LiInAg2
_chemical_formula_sum 'Li2 In2 Ag4'
_symmetry_space_group_name_H-M 'P 1'
_symmetry_Int_Tables_number 1
_cell_length_a 4.685
_cell_length_b 4.689
_cell_length_c 6.645
_cell_angle_alpha 90.00
_cell_angle_beta 90.00
_cell_angle_gamma 90.00
loop_
_symmetry_equiv_pos_as_xyz
'x,y,z'
loop_
_atom_site_label
_atom_site_type_symbol
_atom_site_fract_x
_atom_site_fract_y
_atom_site_fract_z
_atom_site_occupancy
Li1 Li 0.000 0.000 0.000 1
Li2 Li 0.500 0.500 0.500 1
In1 In 0.000 0.000 0.500 1
In2 In 0.500 0.500 0.000 1
Ag1 Ag 0.000 0.500 0.251 1
Ag2 Ag 0.000 0.500 0.749 1
Ag3 Ag 0.500 0.000 0.249 1
Ag4 Ag 0.500 0.000 0.751 1
```

Results
Space-group type: Immm (71)
Crystal system: orthorhombic
VASP energy: -2.796 eV per atom

***

A geometry-optimized CuNiB2 structure, computed with PBE.

```
data_CuNiB2
_chemical_formula_sum 'Cu4 Ni4 B8'
_symmetry_space_group_name_H-M 'P 1'
_symmetry_Int_Tables_number 1
_cell_length_a 5.192
_cell_length_b 5.192
_cell_length_c 5.192
_cell_angle_alpha 90.00
_cell_angle_beta 90.00
_cell_angle_gamma 90.00
loop_
_symmetry_equiv_pos_as_xyz
'x,y,z'
loop_
_atom_site_label
_atom_site_type_symbol
_atom_site_fract_x
_atom_site_fract_y
_atom_site_fract_z
_atom_site_occupancy
Cu1 Cu 0.000 0.000 0.000 1
Cu2 Cu 0.000 0.500 0.500 1
Cu3 Cu 0.500 0.000 0.500 1
Cu4 Cu 0.500 0.500 0.000 1
Ni1 Ni 0.250 0.250 0.250 1
Ni2 Ni 0.250 0.750 0.750 1
Ni3 Ni 0.750 0.250 0.750 1
Ni4 Ni 0.750 0.750 0.250 1
B1 B 0.000 0.000 0.500 1
B2 B 0.000 0.500 0.000 1
B3 B 0.250 0.250 0.750 1
B4 B 0.250 0.750 0.250 1
B5 B 0.500 0.000 0.000 1
B6 B 0.500 0.500 0.500 1
B7 B 0.750 0.250 0.250 1
B8 B 0.750 0.750 0.750 1
```

Results
Space-group type: F-43m (216)
Crystal system: cubic
VASP energy: -4.855 eV per atom

***

A geometry-optimized Sm2Sn2O7 structure, computed with PBE.

```
data_Sm2Sn2O7
_chemical_formula_sum 'Sm4 Sn4 O14'
_symmetry_space_group_name_H-M 'P 1'
_symmetry_Int_Tables_number 1
_cell_length_a 7.449
_cell_length_b 7.449
_cell_length_c 7.449
_cell_angle_alpha 60.00
_cell_angle_beta 60.00
_cell_angle_gamma 60.00
loop_
_symmetry_equiv_pos_as_xyz
'x,y,z'
loop_
_atom_site_label
_atom_site_type_symbol
_atom_site_fract_x
_atom_site_fract_y
_atom_site_fract_z
_atom_site_occupancy
Sm1 Sm 0.000 0.000 0.000 1
Sm2 Sm 0.000 0.000 0.500 1
Sm3 Sm 0.000 0.500 0.000 1
Sm4 Sm 0.500 0.000 0.000 1
Sn1 Sn 0.000 0.500 0.500 1
Sn2 Sn 0.500 0.000 0.500 1
Sn3 Sn 0.500 0.500 0.000 1
Sn4 Sn 0.500 0.500 0.500 1
O1 O 0.125 0.125 0.125 1
O2 O 0.164 0.164 0.586 1
O3 O 0.164 0.586 0.164 1
O4 O 0.164 0.586 0.586 1
O5 O 0.414 0.414 0.836 1
O6 O 0.414 0.836 0.414 1
O7 O 0.414 0.836 0.836 1
O8 O 0.586 0.164 0.164 1
O9 O 0.586 0.164 0.586 1
O10 O 0.586 0.586 0.164 1
O11 O 0.836 0.414 0.414 1
O12 O 0.836 0.414 0.836 1
O13 O 0.836 0.836 0.414 1
O14 O 0.875 0.875 0.875 1
```

Results
Space-group type: Fd-3m (227)
Crystal system: cubic
VASP energy: -7.290 eV per atom